{
  "formula": "NaTm2Pb3Se6",
  "functional": "GGA-PBE",
  "state": "relaxed",
  "sg": "No. 12",
  "raw_formation_energy_ev_per_atom": -1.079,
  "n_ef_per_ev_cell": 4.3,
  "lattice": [[9.321, -2.038, 0.000], [9.321, 2.038, 0.000], [-2.350, 0.000, 8.829]],
  "species": ["Na", "Tm", "Tm", "Pb", "Pb", "Pb", "Se", "Se", "Se", "Se", "Se", "Se"],
  "fractional_positions": [[0.000, 0.000, 0.000], [0.335, 0.335, 0.667], [0.665, 0.665, 0.333], [0.000, 0.000, 0.500], [0.340, 0.340, 0.161], [0.660, 0.660, 0.839], [0.172, 0.172, 0.121], [0.173, 0.173, 0.557], [0.490, 0.490, 0.746], [0.510, 0.510, 0.254], [0.827, 0.827, 0.443], [0.828, 0.828, 0.879]]
}